Here is a relaxed LiHg2TeO6 crystal from Alexandria via LeMat-Bulk. Energies are from GGA-PBE.

```
LiHg2TeO6
1.0
5.616 0.001 -0.001
2.809 4.865 0.000
2.808 1.623 4.706
O Hg Li Te
6 2 1 1
Direct
0.542 0.186 0.293
0.980 0.541 0.293
0.653 0.093 0.808
0.092 0.447 0.808
0.186 0.980 0.292
0.446 0.653 0.809
0.068 0.068 0.795
0.562 0.562 0.314
0.816 0.816 0.552
0.316 0.316 0.051
```

Calculated values
total magnetic moment: 0.83 μB per formula unit
V: 128.6 Å³/f.u.
energy: -4.2820 eV per atom
E_form (uncorrected): -0.741 eV per atom